(A)
Entry from the Alexandria database: a geometry-optimized SmMoOs structure (PBE-GGA).

Lattice parameters (Å, degrees): 5.2543 5.2234 10.4503 82.74 75.44 59.80
Positions (direct):
Mo  0.1645  0.5000  0.6710
Mo  0.3355  0.5000  0.3290
Mo  0.5855  0.0000  0.8290
Mo  0.4145  0.0000  0.1710
Os  0.6250  0.5000  0.7500
Os  0.8750  0.5000  0.2500
Os  0.1250  0.0000  0.7500
Os  0.8750  0.0000  0.2500
Sm  0.9199  0.1602  0.5000
Sm  0.5801  0.8398  0.5000
Sm  0.8301  0.3398  0.0000
Sm  0.1699  0.6602  0.0000

=====

(B)
Entry from the Alexandria database: a geometry-optimized SmMoOs structure (PBE-GGA).

Lattice parameters (Å, degrees): 5.3517 5.4495 5.4495 64.47 60.59 60.59
Positions (direct):
Sm  0.8698  0.3802  0.3802
Sm  0.1302  0.6198  0.6198
Mo  0.0000  0.0000  0.0000
Mo  0.5000  0.0000  0.0000
Os  0.5000  0.5000  0.0000
Os  0.5000  0.0000  0.5000

=====

(B) comes first in stability; the runner-up is 31.7 kJ/mol of atoms higher.

=====

(A)
Entry from the Alexandria database: a geometry-optimized SnMoOs3 structure (PBE-GGA).

Lattice parameters (Å, degrees): 4.7187 4.7187 4.7187 90.00 90.00 90.00
Positions (direct):
Mo  0.5000  0.5000  0.5000
Os  0.0000  0.5000  0.0000
Os  0.0000  0.0000  0.5000
Os  0.5000  0.0000  0.0000
Sn  0.0000  0.0000  0.0000

=====

(B)
Entry from the Alexandria database: a geometry-optimized SnMoOs3 structure (PBE-GGA).

Lattice parameters (Å, degrees): 4.7294 4.7294 4.7294 90.00 90.00 90.00
Positions (direct):
Mo  0.0000  0.0000  0.0000
Os  0.0000  0.5000  0.0000
Os  0.0000  0.0000  0.5000
Os  0.5000  0.0000  0.0000
Sn  0.5000  0.5000  0.5000

=====

(B) comes first in stability; the runner-up is 84.2 kJ/mol of atoms higher.

=====

(A)
Entry from the Alexandria database: a geometry-optimized SrMo3Os structure (PBE-GGA).

Lattice parameters (Å, degrees): 4.6137 4.6137 4.6137 90.00 90.00 90.00
Positions (direct):
Sr  0.0000  0.0000  0.0000
Mo  0.0000  0.5000  0.0000
Mo  0.0000  0.0000  0.5000
Mo  0.5000  0.0000  0.0000
Os  0.5000  0.5000  0.5000

=====

(B)
Entry from the Alexandria database: a geometry-optimized SrMo3Os structure (PBE-GGA).

Lattice parameters (Å, degrees): 4.8822 4.8822 4.8822 90.00 90.00 90.00
Last column: magnetic moment on the atom in μB.
Positions (direct):
Sr  0.5000  0.5000  0.5000  0.04
Mo  0.0000  0.5000  0.0000  0.70
Mo  0.0000  0.0000  0.5000  0.78
Mo  0.5000  0.0000  0.0000  0.49
Os  0.0000  0.0000  0.0000  -0.06

=====

(B) comes first in stability; the runner-up is 204.3 kJ/mol of atoms higher.

=====

(A)
Entry from the Alexandria database: a geometry-optimized TaMo2Os structure (PBE-GGA).

Lattice parameters (Å, degrees): 3.1627 4.4497 4.5471 90.00 90.00 90.00
Positions (direct):
Mo  0.0000  0.0000  0.0000
Mo  0.5000  0.5000  0.0000
Os  0.5000  0.0000  0.5000
Ta  0.0000  0.5000  0.5000

=====

(B)
Entry from the Alexandria database: a geometry-optimized TaMo2Os structure (PBE-GGA).

Lattice parameters (Å, degrees): 2.7711 2.7711 8.9004 90.00 90.00 110.37
Positions (direct):
Mo  0.0000  0.0000  0.0045
Mo  0.5000  0.5000  0.2509
Os  0.0000  0.0000  0.4978
Ta  0.5000  0.5000  0.7467

=====

(A) comes first in stability; the runner-up is 13.8 kJ/mol of atoms higher.

=====

(A)
Entry from the Alexandria database: a geometry-optimized Ta4MoOs structure (PBE-GGA).

Lattice parameters (Å, degrees): 5.3240 5.3240 5.3240 60.00 60.00 60.00
Positions (direct):
Ta  0.8749  0.3750  0.3750
Ta  0.3750  0.3750  0.8749
Ta  0.3750  0.8749  0.3750
Ta  0.3750  0.3750  0.3750
Mo  0.7500  0.7500  0.7500
Os  0.0000  0.0000  0.0000

=====

(B)
Entry from the Alexandria database: a geometry-optimized Ta4MoOs structure (PBE-GGA).

Lattice parameters (Å, degrees): 3.2201 3.2201 9.8614 90.00 90.00 90.00
Positions (direct):
Ta  0.5000  0.5000  0.8385
Ta  0.5000  0.5000  0.1615
Ta  0.0000  0.0000  0.6619
Ta  0.0000  0.0000  0.3381
Mo  0.5000  0.5000  0.5000
Os  0.0000  0.0000  0.0000

=====

(B) comes first in stability; the runner-up is 71.7 kJ/mol of atoms higher.

=====

(A)
Entry from the Alexandria database: a geometry-optimized TaMo2Os2 structure (PBE-GGA).

Lattice parameters (Å, degrees): 7.5649 7.5649 2.8387 90.00 90.00 90.00
Positions (direct):
Mo  0.3718  0.8718  0.0000
Mo  0.8718  0.6282  0.0000
Mo  0.6282  0.1282  0.0000
Mo  0.1282  0.3718  0.0000
Os  0.1710  0.6710  0.5000
Os  0.6710  0.8290  0.5000
Os  0.8290  0.3290  0.5000
Os  0.3290  0.1710  0.5000
Ta  0.0000  0.0000  0.0000
Ta  0.5000  0.5000  0.0000

=====

(B)
Entry from the Alexandria database: a geometry-optimized TaMo2Os2 structure (PBE-GGA).

Lattice parameters (Å, degrees): 7.4873 7.4873 2.8988 90.00 90.00 90.00
Positions (direct):
Mo  0.1673  0.6673  0.5000
Mo  0.6673  0.8327  0.5000
Mo  0.8327  0.3327  0.5000
Mo  0.3327  0.1673  0.5000
Os  0.3688  0.8688  0.0000
Os  0.8688  0.6312  0.0000
Os  0.6312  0.1312  0.0000
Os  0.1312  0.3688  0.0000
Ta  0.0000  0.0000  0.0000
Ta  0.5000  0.5000  0.0000

=====

(B) comes first in stability; the runner-up is 9.8 kJ/mol of atoms higher.

=====

(A)
Entry from the Alexandria database: a geometry-optimized TcMoOs2 structure (PBE-GGA).

Lattice parameters (Å, degrees): 3.8855 2.7521 6.1829 63.42 90.00 90.00
Positions (direct):
Mo  0.5000  0.7500  0.7500
Os  0.0000  0.9927  0.0072
Os  0.0000  0.5073  0.4928
Tc  0.5000  0.2500  0.2500

=====

(B)
Entry from the Alexandria database: a geometry-optimized TcMoOs2 structure (PBE-GGA).

Lattice parameters (Å, degrees): 3.2317 3.2317 5.8089 90.00 90.00 90.00
Positions (direct):
Mo  0.5000  0.5000  0.7525
Os  0.0000  0.0000  0.9976
Os  0.5000  0.5000  0.2759
Tc  0.0000  0.0000  0.4740

=====

(A) comes first in stability; the runner-up is 34.2 kJ/mol of atoms higher.